# Y3ZnTc

A relaxed Y3ZnTc crystal (PBE, the Alexandria database).

Summary:
- volume (Å³ per cell) = 151.1
- E_tot (eV per atom) = -5.968
- energy above the most stable polymorph in this dataset (eV per atom) = 0.000
- M_tot (Bohr magnetons per cell) = 0.00
- ΔH_f (0 K) (meV/atom) = 239

a b c (Å): 5.3258 5.3258 5.3258
angles (deg): 90.00 90.00 90.00
With the nearest neighbours (Å) after each atom.
Space group Pm-3m (No. 221)
Asymmetric unit:
1 Y 0.0000 0.0000 0.5000 (multiplicity 3)  2 Tc 2.66
2 Zn 0.5000 0.5000 0.5000 (multiplicity 1)  12 Y 3.77
3 Tc 0.0000 0.0000 0.0000 (multiplicity 1)  6 Y 2.66